## HoSi2Os2 (GGA-PBEsol)

Data for a geometry-optimized HoSi2Os2 structure.

abc: 4.114 4.114 9.603
angles: 90.00 90.00 90.00
Space group I4/mmm (No. 139)
Unique sites:
Ho: 0.000 0.000 0.000
Si: 0.000 0.000 0.374
Os: 0.000 0.500 0.250

magnetic moment = 0.0 μB per formula unit
E_form (uncorrected) = -0.7501 eV per atom

## HoZrOs2 (GGA-PBEsol)

Data for a geometry-optimized HoZrOs2 structure.

abc: 6.573 6.573 6.573
angles: 90.00 90.00 90.00
Space group Fm-3m (No. 225)
Unique sites:
Ho: 0.000 0.000 0.000
Zr: 0.000 0.000 0.500
Os: 0.250 0.250 0.250

formation energy from the elements = -314 meV/atom
magnetic moment = 0.0 μB per formula unit

## HoP (GGA-PBEsol)

Data for a geometry-optimized HoP structure.

abc: 5.563 5.563 5.563
angles: 90.00 90.00 90.00
Space group Fm-3m (No. 225)
Unique sites:
Ho: 0.000 0.000 0.000
P: 0.000 0.000 0.500

formation energy from the elements = -1637 meV/atom
magnetic moment = 0.0 μB per formula unit

## HoP5 (GGA-PBEsol)

Data for a geometry-optimized HoP5 structure.

abc: 4.838 9.308 5.271
angles: 90.00 103.02 90.00
Space group P2_1/m (No. 11)
Unique sites:
Ho: 0.009 0.250 0.350
P: 0.267 0.250 0.896
P: 0.281 0.531 0.405
P: 0.381 0.594 0.040

formation energy from the elements = -546 meV/atom
magnetic moment = 0.0 μB per formula unit

## Ho3P6Pd20 (GGA-PBEsol)

Data for a geometry-optimized Ho3P6Pd20 structure.

abc: 12.062 12.062 12.062
angles: 90.00 90.00 90.00
Space group Fm-3m (No. 225)
Unique sites:
Ho: 0.000 0.000 0.000
Ho: 0.250 0.250 0.250
P: 0.000 0.000 0.263
Pd: 0.000 0.173 0.173
Pd: 0.116 0.116 0.384

formation energy from the elements = -785 meV/atom
magnetic moment = 0.0 μB per formula unit

## Ho2P7Rh12 (GGA-PBEsol)

Data for a geometry-optimized Ho2P7Rh12 structure.

abc: 9.4678 9.4678 3.7995
angles: 90.00 90.00 120.00
Space group P-3 (No. 147)
Unique sites:
Ho: 0.3333 0.6667 0.2495
P: 0.0000 0.0000 0.5000
P: 0.1194 0.7132 0.7536
Rh: 0.0672 0.4488 0.7497
Rh: 0.1107 0.2614 0.2484

formation energy from the elements = -993 meV/atom
magnetic moment = 0.0 μB per formula unit

## HoPS (GGA-PBEsol)

Data for a geometry-optimized HoPS structure.

abc: 6.852 3.597 9.031
angles: 90.00 90.00 90.00
Space group Pnma (No. 62)
Unique sites:
Ho: 0.208 0.250 0.160
P: 0.092 0.250 0.462
S: 0.093 0.250 0.846

magnetic moment = 0.0 μB per formula unit
E_form (uncorrected) = -1.5923 eV per atom

## HoPaTc2 (GGA-PBEsol)

Data for a geometry-optimized HoPaTc2 structure.

abc: 6.737 6.737 6.737
angles: 90.00 90.00 90.00
Space group Fm-3m (No. 225)
Unique sites:
Ho: 0.000 0.000 0.000
Pa: 0.000 0.000 0.500
Tc: 0.250 0.250 0.250

formation energy from the elements = -119 meV/atom
magnetic moment = 0.0 μB per formula unit

## HoPb3 (GGA-PBEsol)

Data for a geometry-optimized HoPb3 structure.

abc: 4.778 4.778 4.778
angles: 90.00 90.00 90.00
Space group Pm-3m (No. 221)
Unique sites:
Ho: 0.000 0.000 0.000
Pb: 0.000 0.500 0.500

formation energy from the elements = -299 meV/atom
magnetic moment = 0.0 μB per formula unit

## Ho3Pb (GGA-PBEsol)

Data for a geometry-optimized Ho3Pb structure.

abc: 4.596 4.596 10.239
angles: 90.00 90.00 90.00
Space group I4/mmm (No. 139)
Unique sites:
Ho: 0.000 0.000 0.000
Ho: 0.000 0.500 0.250
Pb: 0.000 0.000 0.500

formation energy from the elements = -299 meV/atom
magnetic moment = 0.0 μB per formula unit

## Ho2Pd2Pb (GGA-PBEsol)

Data for a geometry-optimized Ho2Pd2Pb structure.

abc: 7.763 7.763 3.529
angles: 90.00 90.00 90.00
Space group P4/mbm (No. 127)
Unique sites:
Ho: 0.171 0.329 0.000
Pd: 0.126 0.626 0.500
Pb: 0.000 0.000 0.500

formation energy from the elements = -857 meV/atom
magnetic moment = 0.0 μB per formula unit

## Ho14Pb3S24 (GGA-PBEsol)

Data for a geometry-optimized Ho14Pb3S24 structure.

abc: 11.671 8.209 18.506
angles: 90.00 108.34 90.00
Space group C2 (No. 5)
Unique sites:
Ho: 0.007 0.000 0.131
Ho: 0.041 0.751 0.696
Ho: 0.124 0.244 0.621
Ho: 0.167 0.503 0.213
Ho: 0.169 0.126 0.338
Ho: 0.176 0.508 0.462
Ho: 0.210 0.252 0.038
Pb: 0.000 0.625 0.000
Pb: 0.165 0.378 0.830
S: 0.003 0.312 0.917
S: 0.030 0.431 0.305
S: 0.060 0.688 0.862
S: 0.067 0.065 0.744
S: 0.098 0.563 0.584
S: 0.110 0.192 0.465
S: 0.140 0.939 0.032
S: 0.160 0.827 0.419
S: 0.174 0.821 0.256
S: 0.194 0.926 0.633
S: 0.224 0.186 0.208
S: 0.248 0.562 0.089

magnetic moment = 0.0 μB per formula unit
E_form (uncorrected) = -1.8674 eV per atom